## Fe7Pt2 (GGA-PBE)

Data for a geometry-optimized Fe7Pt2 structure.

a = 4.7002 Å, b = 4.7002 Å, c = 23.7031 Å
α = 90.00°, β = 90.00°, γ = 120.00°
Last column: nearest neighbours and their distance in Å.
Atoms (fractional coordinates):
Fe1 0.0000 0.0000 0.0000  6 Fe 2.39
Fe2 0.0000 0.0000 0.1670  6 Fe 2.39-2.42
Fe3 0.0000 0.0000 0.3330  6 Fe 2.39-2.42
Fe4 0.0000 0.0000 0.5000  6 Fe 2.39
Fe5 0.0000 0.0000 0.6670  6 Fe 2.39-2.42
Fe6 0.0000 0.0000 0.8330  6 Fe 2.39-2.42
Fe7 0.1668 0.3337 0.2500  8 Fe 2.35-2.40
Fe8 0.1668 0.8332 0.2500  8 Fe 2.35-2.40
Fe9 0.1680 0.3359 0.0826  7 Fe 2.33-2.42
Fe10 0.1680 0.3359 0.4174  7 Fe 2.33-2.42
Fe11 0.1680 0.8320 0.0826  7 Fe 2.33-2.42
Fe12 0.1680 0.8320 0.4174  7 Fe 2.33-2.42
Fe13 0.3333 0.6667 0.1666  6 Fe 2.40
Fe14 0.3333 0.6667 0.3334  6 Fe 2.40
Fe15 0.3337 0.1668 0.7500  8 Fe 2.35-2.40
Fe16 0.3359 0.1680 0.5826  7 Fe 2.33-2.42
Fe17 0.3359 0.1680 0.9174  7 Fe 2.33-2.42
Fe18 0.6641 0.8320 0.0826  7 Fe 2.33-2.42
Fe19 0.6641 0.8320 0.4174  7 Fe 2.33-2.42
Fe20 0.6663 0.8332 0.2500  8 Fe 2.35-2.40
Fe21 0.6667 0.3333 0.6666  6 Fe 2.40
Fe22 0.6667 0.3333 0.8334  6 Fe 2.40
Fe23 0.8320 0.1680 0.5826  7 Fe 2.33-2.42
Fe24 0.8320 0.1680 0.9174  7 Fe 2.33-2.42
Fe25 0.8320 0.6641 0.5826  7 Fe 2.33-2.42
Fe26 0.8320 0.6641 0.9174  7 Fe 2.33-2.42
Fe27 0.8332 0.1668 0.7500  8 Fe 2.35-2.40
Fe28 0.8332 0.6663 0.7500  8 Fe 2.35-2.40
Pt1 0.3333 0.6667 0.5211  12 Fe 2.76-2.80, 3 Pt 2.89
Pt2 0.3333 0.6667 0.6720  12 Fe 2.72-2.99
Pt3 0.3333 0.6667 0.8280  12 Fe 2.72-2.99
Pt4 0.3333 0.6667 0.9789  12 Fe 2.76-2.80, 3 Pt 2.89
Pt5 0.6667 0.3333 0.0211  12 Fe 2.76-2.80, 3 Pt 2.89
Pt6 0.6667 0.3333 0.1720  12 Fe 2.72-2.99
Pt7 0.6667 0.3333 0.3280  12 Fe 2.72-2.99
Pt8 0.6667 0.3333 0.4789  12 Fe 2.76-2.80, 3 Pt 2.89

Output
* magnetization: 15.4 μB/f.u.
* E_tot: -7.67 eV/atom
* calculated volume: 12.60 A^3/atom
* SG: P6_3/mmc (194)

---

## RbFePt (GGA-PBE)

Data for a geometry-optimized RbFePt structure.

a = 4.6442 Å, b = 4.6442 Å, c = 4.6442 Å
α = 60.00°, β = 60.00°, γ = 60.00°
Last column: nearest neighbours and their distance in Å.
Atoms (fractional coordinates):
Rb1 0.0000 0.0000 0.0000  4 Fe 2.84
Fe1 0.7500 0.7500 0.7500  4 Rb 2.84, 4 Pt 2.84
Pt1 0.5000 0.5000 0.5000  4 Fe 2.84

Output
* magnetization: 3.3 μB/f.u.
* E_tot: -4.10 eV/atom
* distance to the lowest polymorph of the same formula: 0 meV/atom
* calculated volume: 23.61 A^3/atom
* SG: F-43m (216)

---

## RbFePt (GGA-PBE)

Data for a geometry-optimized RbFePt structure.

a = 4.9370 Å, b = 4.9370 Å, c = 4.9370 Å
α = 60.00°, β = 60.00°, γ = 60.00°
Last column: nearest neighbours and their distance in Å.
Atoms (fractional coordinates):
Rb1 0.0000 0.0000 0.0000  4 Fe 3.02, 4 Pt 3.02
Fe1 0.7500 0.7500 0.7500  4 Rb 3.02
Pt1 0.2500 0.2500 0.2500  4 Rb 3.02

Output
* magnetization: 3.4 μB/f.u.
* E_tot: -3.36 eV/atom
* distance to the lowest polymorph of the same formula: 744 meV/atom
* calculated volume: 28.36 A^3/atom
* SG: F-43m (216)

---

## FeRe6Pt (GGA-PBE)

Data for a geometry-optimized FeRe6Pt structure.

a = 5.4944 Å, b = 5.4944 Å, c = 4.3831 Å
α = 90.00°, β = 90.00°, γ = 120.00°
Last column: nearest neighbours and their distance in Å.
Atoms (fractional coordinates):
Fe1 0.0000 0.0000 0.0000  12 Re 2.71-2.75
Re1 0.0103 0.5051 0.0000  8 Re 2.66-2.83, 2 Pt 2.73, 2 Fe 2.75
Re2 0.1671 0.3342 0.5000  8 Re 2.69-2.75, 2 Fe 2.71, 2 Pt 2.75
Re3 0.1671 0.8329 0.5000  8 Re 2.69-2.75, 2 Fe 2.71, 2 Pt 2.75
Re4 0.4949 0.5051 0.0000  8 Re 2.66-2.83, 2 Pt 2.73, 2 Fe 2.75
Re5 0.4949 0.9897 0.0000  8 Re 2.66-2.83, 2 Pt 2.73, 2 Fe 2.75
Re6 0.6658 0.8329 0.5000  8 Re 2.69-2.75, 2 Fe 2.71, 2 Pt 2.75
Pt1 0.6667 0.3333 0.5000  12 Re 2.73-2.75

Output
* magnetization: 1.4 μB/f.u.
* E_tot: -11.20 eV/atom
* calculated volume: 14.32 A^3/atom
* SG: P-6m2 (187)

---

## FeReSnPt (GGA-PBE)

Data for a geometry-optimized FeReSnPt structure.

a = 4.4677 Å, b = 4.4677 Å, c = 4.4677 Å
α = 60.00°, β = 60.00°, γ = 60.00°
Last column: nearest neighbours and their distance in Å.
Atoms (fractional coordinates):
Fe1 0.0000 0.0000 0.0000  4 Sn 2.74, 4 Pt 2.74
Re1 0.5000 0.5000 0.5000  4 Sn 2.74, 4 Pt 2.74
Sn1 0.7500 0.7500 0.7500  4 Fe 2.74, 4 Re 2.74
Pt1 0.2500 0.2500 0.2500  4 Re 2.74, 4 Fe 2.74

Output
* magnetization: 1.6 μB/f.u.
* E_tot: -7.37 eV/atom
* distance to the lowest polymorph of the same formula: 0 meV/atom
* calculated volume: 15.76 A^3/atom
* SG: F-43m (216)

---

## ZnFeRePt (GGA-PBE)

Data for a geometry-optimized ZnFeRePt structure.

a = 4.3077 Å, b = 4.3077 Å, c = 4.3077 Å
α = 60.00°, β = 60.00°, γ = 60.00°
Last column: nearest neighbours and their distance in Å.
Atoms (fractional coordinates):
Zn1 0.0000 0.0000 0.0000  4 Fe 2.64, 4 Pt 2.64
Fe1 0.2500 0.2500 0.2500  4 Re 2.64, 4 Zn 2.64
Re1 0.5000 0.5000 0.5000  4 Pt 2.64, 4 Fe 2.64
Pt1 0.7500 0.7500 0.7500  4 Re 2.64, 4 Zn 2.64

Output
* magnetization: 2.5 μB/f.u.
* E_tot: -6.84 eV/atom
* distance to the lowest polymorph of the same formula: 0 meV/atom
* calculated volume: 14.13 A^3/atom
* SG: F-43m (216)

---

Q: E_tot of number 4 (FeRe6Pt)?
A: -11.20 eV/atom

---

Repeat the sixth record exactly.
## ZnFeRePt (GGA-PBE)

Data for a geometry-optimized ZnFeRePt structure.

a = 4.3077 Å, b = 4.3077 Å, c = 4.3077 Å
α = 60.00°, β = 60.00°, γ = 60.00°
Last column: nearest neighbours and their distance in Å.
Atoms (fractional coordinates):
Zn1 0.0000 0.0000 0.0000  4 Fe 2.64, 4 Pt 2.64
Fe1 0.2500 0.2500 0.2500  4 Re 2.64, 4 Zn 2.64
Re1 0.5000 0.5000 0.5000  4 Pt 2.64, 4 Fe 2.64
Pt1 0.7500 0.7500 0.7500  4 Re 2.64, 4 Zn 2.64

Output
* magnetization: 2.5 μB/f.u.
* E_tot: -6.84 eV/atom
* distance to the lowest polymorph of the same formula: 0 meV/atom
* calculated volume: 14.13 A^3/atom
* SG: F-43m (216)